This record from Alexandria via LeMat-Bulk describes AgHg2SbI after structural relaxation. The functional is GGA-PBE.

Properties
Density, kg/m3: 7359
Formation energy without anion corrections, eV/atom: 0.049
N(E_F), states/eV per cell: 1.5

a = 5.663 Å, b = 5.663 Å, c = 5.331 Å
α = 90.00°, β = 90.00°, γ = 90.00°
Element x y z (fractional)
I 0.500 0.500 0.500
Hg 0.500 0.000 0.000
Hg 0.000 0.500 0.000
Ag 0.000 0.000 0.500
Sb 0.000 0.000 0.000

This record from Alexandria via LeMat-Bulk describes La4B after structural relaxation. The functional is GGA-PBE.

Properties
Density, kg/m3: 5759
Energy of formation from the pure elements, eV/atom: 0.1353
N(E_F), states/eV per cell: 7.8

a = 5.466 Å, b = 5.466 Å, c = 5.466 Å
α = 90.00°, β = 90.00°, γ = 90.00°
Element x y z (fractional)
La 0.500 0.500 0.000
La 0.500 0.000 0.500
La 0.000 0.000 0.000
La 0.000 0.500 0.500
B 0.500 0.500 0.500

This record from Alexandria via LeMat-Bulk describes NaPm4Au5 after structural relaxation. The functional is GGA-PBE.

Properties
Density, kg/m3: 10604
Energy of formation from the pure elements, eV/atom: -0.6889
N(E_F), states/eV per cell: 7.5

a = 3.663 Å, b = 3.663 Å, c = 18.527 Å
α = 90.00°, β = 90.00°, γ = 90.00°
Element x y z (fractional)
Na 0.000 0.000 0.000
Au 0.500 0.500 0.299
Au 0.500 0.500 0.895
Au 0.500 0.500 0.500
Au 0.500 0.500 0.105
Au 0.500 0.500 0.701
Pm 0.000 0.000 0.399
Pm 0.000 0.000 0.194
Pm 0.000 0.000 0.601
Pm 0.000 0.000 0.806